RbHOsBr6, optimized geometry, DFT PBE; space-group type = No. 1; V = 304.7 Å³ per cell; Fermi-level density of states = 0.517 states/eV per atom
1.0
6.6195 0.0000 0.0000
-2.5528 6.4259 0.0000
-1.1361 -1.3751 7.1631
Rb H Os Br
1 1 1 6
direct
0.0000 0.0000 0.0000
0.3582 0.3602 0.4742
0.8395 0.3432 0.4667
0.0109 0.5142 0.2173
0.0963 0.1495 0.4939
0.1228 0.6387 0.7105
0.5615 0.0423 0.2175
0.5850 0.5413 0.4454
0.6587 0.1685 0.7080



NdCuSiN, optimized geometry, DFT PBE; raw formation energy = -0.8688 eV/atom; space-group type = No. 129; V = 122.5 Å³ per cell; Fermi-level density of states = 0.193 states/eV per atom
1.0
3.8198 0.0000 0.0000
0.0000 3.8198 0.0000
0.0000 0.0000 8.3922
Nd Cu Si N
2 2 2 2
direct
0.2500 0.2500 0.1593
0.7500 0.7500 0.8407
0.2500 0.7500 0.5000
0.7500 0.2500 0.5000
0.2500 0.2500 0.6628
0.7500 0.7500 0.3372
0.2500 0.2500 0.8725
0.7500 0.7500 0.1275



| no. | total energy (Ry per atom) |
| --- | --- |
| 1 | -0.2447 |
| 2 | -0.4794 |